SnNO | PBE | optimized geometry

Computed properties:
- Magnetic moment: 0.000 μB per cell
- SG: C2/m (12)
- ρ: 3.6 g/cm3
- N(E_F): 0.000 states/eV per cell
- Energy above the most stable polymorph in this dataset: 0.000 eV/atom
- Raw formation energy: -73.6 kJ/mol of atoms

a b c (Å): 3.561 3.561 10.907
angles (deg): 93.61 93.61 80.08
Element x y z (fractional)
Sn 0.800 0.800 0.873
Sn 0.200 0.200 0.127
N 0.052 0.052 0.546
N 0.948 0.948 0.454
O 0.200 0.200 0.929
O 0.800 0.800 0.071

***

YMg2Se | PBE | optimized geometry

Computed properties:
- Magnetic moment: 0.006 μB per cell
- SG: Cm (8)
- ρ: 3.6 g/cm3
- N(E_F): 2.078 states/eV per cell
- Raw formation energy: -60.4 kJ/mol of atoms

a b c (Å): 5.521 5.521 5.782
angles (deg): 65.77 65.77 38.42
Element x y z (fractional)
Mg 0.985 0.985 0.010
Mg 0.207 0.207 0.220
Se 0.516 0.516 0.627
Y 0.792 0.792 0.643

***

Sn2PbF11 | PBE | optimized geometry

Computed properties:
- Magnetic moment: 0.000 μB per cell
- SG: Ibam (72)
- ρ: 5.2 g/cm3
- N(E_F): 5.488 states/eV per cell
- Raw formation energy: -217.7 kJ/mol of atoms

a b c (Å): 7.794 8.324 8.324
angles (deg): 73.51 62.08 62.08
Element x y z (fractional)
Sn 0.639 0.681 0.319
Sn 0.361 0.319 0.681
Sn 0.861 0.181 0.819
Sn 0.139 0.819 0.181
Pb 0.750 0.750 0.750
Pb 0.250 0.250 0.250
F 0.631 0.702 0.561
F 0.369 0.298 0.439
F 0.106 0.561 0.702
F 0.869 0.939 0.798
F 0.894 0.439 0.298
F 0.131 0.061 0.202
F 0.394 0.798 0.939
F 0.606 0.202 0.061
F 0.500 0.500 0.500
F 0.000 0.000 0.000
F 0.873 0.782 0.218
F 0.127 0.218 0.782
F 0.627 0.282 0.718
F 0.373 0.718 0.282
F 0.462 0.953 0.330
F 0.538 0.047 0.670
F 0.255 0.330 0.953
F 0.038 0.170 0.547
F 0.745 0.670 0.047
F 0.962 0.830 0.453
F 0.245 0.547 0.170
F 0.755 0.453 0.830

***

CaPbO2 | PBE | optimized geometry

Computed properties:
- Magnetic moment: 0.000 μB per cell
- SG: R-3 (148)
- ρ: 6.8 g/cm3
- N(E_F): 0.000 states/eV per cell
- Raw formation energy: -191.0 kJ/mol of atoms

a b c (Å): 7.946 7.946 7.946
angles (deg): 107.61 107.61 107.61
Element x y z (fractional)
Ca 0.225 0.077 0.702
Ca 0.775 0.923 0.298
Ca 0.923 0.298 0.775
Ca 0.298 0.775 0.923
Ca 0.077 0.702 0.225
Ca 0.702 0.225 0.077
Pb 0.439 0.145 0.370
Pb 0.145 0.370 0.439
Pb 0.370 0.439 0.145
Pb 0.561 0.855 0.630
Pb 0.855 0.630 0.561
Pb 0.630 0.561 0.855
O 0.741 0.588 0.159
O 0.159 0.741 0.588
O 0.412 0.841 0.259
O 0.588 0.159 0.741
O 0.259 0.412 0.841
O 0.841 0.259 0.412
O 0.627 0.878 0.969
O 0.969 0.627 0.878
O 0.878 0.969 0.627
O 0.373 0.122 0.031
O 0.031 0.373 0.122
O 0.122 0.031 0.373

***

Li2CrSi | PBE | optimized geometry

Computed properties:
- Magnetic moment: 2.192 μB per cell
- SG: Pmmm (47)
- ρ: 2.8 g/cm3
- N(E_F): 2.656 states/eV per cell
- Raw formation energy: 21.2 kJ/mol of atoms

a b c (Å): 2.584 4.298 4.978
angles (deg): 90.00 90.00 90.00
Element x y z (fractional)
Cr 0.500 0.500 0.750
Li 0.000 0.000 0.007
Li 0.000 0.000 0.493
Si 0.500 0.500 0.250

***

Pa2Co4Pt | PBE | optimized geometry

Computed properties:
- Magnetic moment: 1.639 μB per cell
- ΔH_f (0 K): 249 meV per atom
- SG: I4/mmm (139)
- ρ: 11.1 g/cm3
- N(E_F): 8.622 states/eV per cell

a b c (Å): 4.655 4.655 7.009
angles (deg): 109.40 109.40 90.00
Element x y z (fractional)
Pa 0.366 0.366 0.732
Pa 0.634 0.634 0.268
Co 0.197 0.197 0.394
Co 0.803 0.803 0.606
Co 0.500 0.000 0.000
Co 0.000 0.500 0.000
Pt 0.000 0.000 0.000

***

SrSn2As2 | PBE | optimized geometry

Computed properties:
- Magnetic moment: 0.000 μB per cell
- ΔH_f (0 K): -372 meV per atom
- SG: I4/mmm (139)
- ρ: 5.7 g/cm3
- N(E_F): 2.619 states/eV per cell

a b c (Å): 4.385 4.385 7.883
angles (deg): 73.85 73.85 90.00
Element x y z (fractional)
Sr 0.000 0.000 0.000
As 0.415 0.415 0.171
As 0.585 0.585 0.829
Sn 0.750 0.250 0.500
Sn 0.250 0.750 0.500

***

KCaTbNbO6 | PBE | optimized geometry

Computed properties:
- Magnetic moment: 1.028 μB per cell
- SG: F-43m (216)
- ρ: 4.6 g/cm3
- N(E_F): 4.971 states/eV per cell
- Raw formation energy: -243.2 kJ/mol of atoms

a b c (Å): 5.998 5.998 5.998
angles (deg): 60.00 60.00 60.00
Element x y z (fractional)
K 0.750 0.750 0.750
Ca 0.250 0.250 0.250
Tb 0.500 0.500 0.500
Nb 0.000 0.000 0.000
O 0.236 0.764 0.236
O 0.764 0.236 0.764
O 0.236 0.764 0.764
O 0.764 0.236 0.236
O 0.236 0.236 0.764
O 0.764 0.764 0.236

***

Mn2VI | PBE | optimized geometry

Computed properties:
- Magnetic moment: 0.718 μB per cell
- SG: Fm-3m (225)
- ρ: 8.5 g/cm3
- N(E_F): 5.474 states/eV per cell
- Energy above the most stable polymorph in this dataset: 0.023 eV/atom
- Raw formation energy: 80.9 kJ/mol of atoms

a b c (Å): 4.296 4.296 4.296
angles (deg): 60.00 60.00 60.00
Element x y z (fractional)
I 0.500 0.500 0.500
Mn 0.250 0.250 0.250
Mn 0.750 0.750 0.750
V 0.000 0.000 0.000

***

AcThGe2 | PBE | optimized geometry

Computed properties:
- Magnetic moment: 0.000 μB per cell
- ΔH_f (0 K): -566 meV per atom
- SG: P4/mmm (123)
- ρ: 9.2 g/cm3
- N(E_F): 4.177 states/eV per cell

a b c (Å): 4.008 4.008 6.781
angles (deg): 90.00 90.00 90.00
Element x y z (fractional)
Ac 0.500 0.500 0.500
Ge 0.000 0.000 0.790
Ge 0.000 0.000 0.210
Th 0.500 0.500 0.000

***

AgW2Au | PBE | optimized geometry

Computed properties:
- Magnetic moment: 0.000 μB per cell
- ΔH_f (0 K): 290 meV per atom
- SG: Cmm2 (35)
- ρ: 16.4 g/cm3
- N(E_F): 2.430 states/eV per cell
- Energy above the most stable polymorph in this dataset: 0.000 eV/atom

a b c (Å): 2.770 2.770 9.400
angles (deg): 90.00 90.00 109.53
Element x y z (fractional)
Au 0.500 0.500 0.756
Ag 0.000 0.000 0.496
W 0.000 0.000 0.008
W 0.500 0.500 0.240

***

RbPaMo2N6 | PBE | optimized geometry

Computed properties:
- Magnetic moment: 0.000 μB per cell
- SG: C2/c (15)
- ρ: 5.2 g/cm3
- Raw formation energy: -55.4 kJ/mol of atoms

a b c (Å): 6.478 7.795 7.795
angles (deg): 90.99 77.75 77.75
Element x y z (fractional)
Rb 0.250 0.907 0.093
Rb 0.750 0.093 0.907
Pa 0.250 0.295 0.705
Pa 0.750 0.705 0.295
Mo 0.345 0.781 0.627
Mo 0.155 0.373 0.219
Mo 0.655 0.219 0.373
Mo 0.845 0.627 0.781
N 0.230 0.006 0.715
N 0.270 0.285 0.994
N 0.770 0.994 0.285
N 0.730 0.715 0.006
N 0.401 0.777 0.390
N 0.099 0.610 0.223
N 0.599 0.223 0.610
N 0.901 0.390 0.777
N 0.154 0.621 0.712
N 0.346 0.288 0.379
N 0.846 0.379 0.288
N 0.654 0.712 0.621